No. 1
TaCd2Pt: relaxed, PBE.

```
8
Lattice="-3.0638 6.3574 -3.2388 -5.1347 -4.4120 -3.8029 -5.8226 1.1957 -1.4528" Properties=species:S:1:pos:R:3 pbc="T T T"
Cd -4.0684 3.8371 -2.9221
Cd -4.9918 -1.7802 -3.0856
Cd -7.3475 1.7070 -3.6607
Cd -11.6347 2.5183 -7.3206
Pt 0.0000 0.0000 0.0000
Pt -6.4929 4.2629 -4.1062
Ta -4.0993 0.9727 -3.5209
Ta -7.5283 -1.1218 -4.3883
```

* energy relative to the elements: 0.4518 eV/atom
* excess energy over the best structure of this formula in the dataset: 0.630 eV/atom
* calculated total energy: -17.9 eV/f.u.

=====

No. 2
Ta2CdPt2: relaxed, PBE.

```
10
Lattice="-4.6116 -6.2095 -2.4476 5.3366 -1.6436 -5.8852 1.3859 -1.7132 1.7352" Properties=species:S:1:pos:R:3 pbc="T T T"
Cd 0.0000 0.0000 0.0000
Cd 0.3625 -3.9265 -4.1664
Pt 3.4836 -3.0043 -3.4819
Pt 2.0440 -6.3758 -5.6610
Pt -1.3728 -6.5620 -3.1157
Pt 0.0668 -3.1904 -0.9366
Ta 2.9419 -3.7860 -6.0879
Ta -0.7243 -6.4718 -5.8114
Ta -2.2170 -4.0670 -2.2449
Ta 1.4493 -1.3813 -2.5214
```

* energy relative to the elements: -0.2754 eV/atom
* excess energy over the best structure of this formula in the dataset: 0.103 eV/atom
* calculated total energy: -38.1 eV/f.u.

=====

No. 3
TaCd2Pt: relaxed, PBE.

```
4
Lattice="4.5807 0.0000 0.0000 0.0000 4.0234 0.0000 0.0000 0.0000 4.0234" Properties=species:S:1:pos:R:3 pbc="T T T"
Cd 0.0000 0.0000 0.0000
Cd 0.0000 2.0117 2.0117
Pt 2.2903 2.0117 0.0000
Ta 2.2903 0.0000 2.0117
```

* energy relative to the elements: 0.0907 eV/atom
* excess energy over the best structure of this formula in the dataset: 0.269 eV/atom
* calculated total energy: -19.4 eV/f.u.

=====

Which formula does entry 1 have? TaCd2Pt